No. 1
A relaxed FeSiSn3 crystal. Source: Alexandria via LeMat-Bulk, functional GGA-PBEsol.

extended XYZ file:
```
5
Lattice="5.0960 0.0000 0.0000 0.0000 5.0960 0.0000 0.0000 0.0000 5.0960" Properties=species:S:1:pos:R:3 pbc="T T T"
Fe 0.0000 0.0000 0.0000
Si 2.5480 2.5480 2.5480
Sn 0.0000 2.5480 2.5480
Sn 2.5480 0.0000 2.5480
Sn 2.5480 2.5480 0.0000
```

Calculated values
- SG = Pm-3m (221)
- uncorrected formation energy (eV per atom) = 1.0656



No. 2
A relaxed SrFe4Si crystal. Source: Alexandria via LeMat-Bulk, functional GGA-PBEsol.

extended XYZ file:
```
6
Lattice="0.0000 3.4749 3.4749 3.4749 0.0000 3.4749 3.4749 3.4749 0.0000" Properties=species:S:1:pos:R:3 pbc="T T T"
Sr 0.0000 0.0000 0.0000
Fe 4.3304 2.6194 2.6194
Fe 2.6194 4.3304 2.6194
Fe 2.6194 2.6194 4.3304
Fe 4.3304 4.3304 4.3304
Si 1.7375 1.7375 1.7375
```

Calculated values
- SG = F-43m (216)
- uncorrected formation energy (eV per atom) = 0.3875



What is the formula in the first record? FeSiSn3